Record 1
Computed, not measured: a geometry-optimized CeMgAu11 structure at the GGA-PBE level of DFT.

Structure (CIF):
```
data_CeMgAu11
_cell_length_a 7.207
_cell_length_b 7.207
_cell_length_c 7.442
_cell_angle_alpha 98.38
_cell_angle_beta 98.38
_cell_angle_gamma 134.33
_symmetry_space_group_name_H-M 'P 1'
_symmetry_Int_Tables_number 1
_symmetry_space_group_name_Hall 'P 1'
loop_
_atom_site_label
_atom_site_type_symbol
_atom_site_fract_x
_atom_site_fract_y
_atom_site_fract_z
Ce1 Ce 0.000 0.000 0.000
Mg1 Mg 0.000 0.000 0.500
Au1 Au 0.000 0.500 0.000
Au2 Au 0.005 0.664 0.653
Au3 Au 0.276 0.488 0.783
Au4 Au 0.336 0.995 0.347
Au5 Au 0.488 0.276 0.783
Au6 Au 0.500 0.000 0.000
Au7 Au 0.500 0.500 0.500
Au8 Au 0.512 0.724 0.217
Au9 Au 0.664 0.005 0.653
Au10 Au 0.724 0.512 0.217
Au11 Au 0.995 0.336 0.347
```

ΔH_f (0 K): -0.275 eV/atom
calculated density: 15.10 Mg/m³
VASP energy: -3.627 eV per atom
total moment: 0.99 μB per cell

Record 2
Computed, not measured: a geometry-optimized NbHgTe2N structure at the GGA-PBE level of DFT.

Structure (CIF):
```
data_NbHgTe2N
_cell_length_a 5.700
_cell_length_b 5.700
_cell_length_c 4.007
_cell_angle_alpha 90.00
_cell_angle_beta 90.00
_cell_angle_gamma 90.00
_symmetry_space_group_name_H-M 'P 1'
_symmetry_Int_Tables_number 1
_symmetry_space_group_name_Hall 'P 1'
loop_
_atom_site_label
_atom_site_type_symbol
_atom_site_fract_x
_atom_site_fract_y
_atom_site_fract_z
Nb1 Nb 0.000 0.000 0.000
Hg1 Hg 0.500 0.500 0.500
Te1 Te 0.000 0.500 0.500
Te2 Te 0.500 0.000 0.500
N1 N 0.500 0.500 0.000
```

calculated density: 7.18 Mg/m³
VASP energy: -3.561 eV per atom
total moment: 4.16 μB per cell
E above lowest polymorph: 1.307 eV/atom
formation energy (no corrections): 1.44 eV per atom

Record 3
Computed, not measured: a geometry-optimized TbPrGa2Pd5 structure at the GGA-PBE level of DFT.

Structure (CIF):
```
data_TbPrGa2Pd5
_cell_length_a 4.270
_cell_length_b 4.270
_cell_length_c 9.289
_cell_angle_alpha 90.00
_cell_angle_beta 90.00
_cell_angle_gamma 90.00
_symmetry_space_group_name_H-M 'P 1'
_symmetry_Int_Tables_number 1
_symmetry_space_group_name_Hall 'P 1'
loop_
_atom_site_label
_atom_site_type_symbol
_atom_site_fract_x
_atom_site_fract_y
_atom_site_fract_z
Tb1 Tb 0.000 0.000 0.000
Pr1 Pr 0.000 0.000 0.500
Ga1 Ga 0.500 0.500 0.134
Ga2 Ga 0.500 0.500 0.866
Pd1 Pd 0.000 0.500 0.271
Pd2 Pd 0.000 0.500 0.729
Pd3 Pd 0.500 0.000 0.271
Pd4 Pd 0.500 0.000 0.729
Pd5 Pd 0.500 0.500 0.500
```

ΔH_f (0 K): -0.767 eV/atom
calculated density: 9.52 Mg/m³
VASP energy: -5.370 eV per atom
total moment: 0.00 μB per cell

Record 4
Computed, not measured: a geometry-optimized Cs7Ag2Au2 structure at the GGA-PBE level of DFT.

Structure (CIF):
```
data_Cs7Ag2Au2
_cell_length_a 11.664
_cell_length_b 11.664
_cell_length_c 11.664
_cell_angle_alpha 154.19
_cell_angle_beta 68.32
_cell_angle_gamma 117.98
_symmetry_space_group_name_H-M 'P 1'
_symmetry_Int_Tables_number 1
_symmetry_space_group_name_Hall 'P 1'
loop_
_atom_site_label
_atom_site_type_symbol
_atom_site_fract_x
_atom_site_fract_y
_atom_site_fract_z
Cs1 Cs 0.000 0.000 0.000
Cs2 Cs 0.299 0.412 0.887
Cs3 Cs 0.307 0.620 0.687
Cs4 Cs 0.524 0.412 0.113
Cs5 Cs 0.605 0.243 0.362
Cs6 Cs 0.880 0.243 0.638
Cs7 Cs 0.933 0.620 0.313
Ag1 Ag 0.238 0.738 0.500
Ag2 Ag 0.677 0.677 0.000
Au1 Au 0.158 0.918 0.240
Au2 Au 0.678 0.918 0.760
```

ΔH_f (0 K): -0.081 eV/atom
calculated density: 4.23 Mg/m³
VASP energy: -1.738 eV per atom
total moment: 0.00 μB per cell

Record 5
Computed, not measured: a geometry-optimized CsEr2P2N6 structure at the GGA-PBE level of DFT.

Structure (CIF):
```
data_CsEr2P2N6
_cell_length_a 6.500
_cell_length_b 6.500
_cell_length_c 6.310
_cell_angle_alpha 116.11
_cell_angle_beta 116.11
_cell_angle_gamma 57.03
_symmetry_space_group_name_H-M 'P 1'
_symmetry_Int_Tables_number 1
_symmetry_space_group_name_Hall 'P 1'
loop_
_atom_site_label
_atom_site_type_symbol
_atom_site_fract_x
_atom_site_fract_y
_atom_site_fract_z
Cs1 Cs 0.000 0.000 0.000
Er1 Er 0.322 0.322 0.699
Er2 Er 0.678 0.678 0.301
P1 P 0.350 0.350 0.263
P2 P 0.650 0.650 0.737
N1 N 0.095 0.518 0.344
N2 N 0.436 0.436 0.131
N3 N 0.482 0.905 0.656
N4 N 0.518 0.095 0.344
N5 N 0.564 0.564 0.869
N6 N 0.905 0.482 0.656
```

calculated density: 5.26 Mg/m³
VASP energy: -7.177 eV per atom
total moment: 0.00 μB per cell
formation energy (no corrections): -0.75 eV per atom

Record 6
Computed, not measured: a geometry-optimized AcSm3Y8 structure at the GGA-PBE level of DFT.

Structure (CIF):
```
data_AcSm3Y8
_cell_length_a 8.851
_cell_length_b 8.851
_cell_length_c 8.851
_cell_angle_alpha 137.39
_cell_angle_beta 97.84
_cell_angle_gamma 97.33
_symmetry_space_group_name_H-M 'P 1'
_symmetry_Int_Tables_number 1
_symmetry_space_group_name_Hall 'P 1'
loop_
_atom_site_label
_atom_site_type_symbol
_atom_site_fract_x
_atom_site_fract_y
_atom_site_fract_z
Ac1 Ac 0.000 0.000 0.000
Sm1 Sm 0.260 0.500 0.760
Sm2 Sm 0.500 0.000 0.500
Sm3 Sm 0.740 0.500 0.240
Y1 Y 0.078 0.827 0.251
Y2 Y 0.261 0.016 0.755
Y3 Y 0.261 0.507 0.245
Y4 Y 0.425 0.173 0.251
Y5 Y 0.575 0.827 0.749
Y6 Y 0.739 0.493 0.755
Y7 Y 0.739 0.984 0.245
Y8 Y 0.922 0.173 0.749
```

ΔH_f (0 K): 0.322 eV/atom
calculated density: 5.28 Mg/m³
VASP energy: -5.509 eV per atom
total moment: 0.00 μB per cell

Record 7
Computed, not measured: a geometry-optimized SmCdAu structure at the GGA-PBE level of DFT.

Structure (CIF):
```
data_SmCdAu
_cell_length_a 7.929
_cell_length_b 7.929
_cell_length_c 3.955
_cell_angle_alpha 90.00
_cell_angle_beta 90.00
_cell_angle_gamma 120.00
_symmetry_space_group_name_H-M 'P 1'
_symmetry_Int_Tables_number 1
_symmetry_space_group_name_Hall 'P 1'
loop_
_atom_site_label
_atom_site_type_symbol
_atom_site_fract_x
_atom_site_fract_y
_atom_site_fract_z
Sm1 Sm 0.000 0.403 0.000
Sm2 Sm 0.403 0.000 0.000
Sm3 Sm 0.597 0.597 0.000
Cd1 Cd 0.000 0.739 0.500
Cd2 Cd 0.261 0.261 0.500
Cd3 Cd 0.739 0.000 0.500
Au1 Au 0.000 0.000 0.000
Au2 Au 0.333 0.667 0.500
Au3 Au 0.667 0.333 0.500
```

ΔH_f (0 K): -0.654 eV/atom
calculated density: 10.64 Mg/m³
VASP energy: -3.625 eV per atom
total moment: 0.00 μB per cell

Record 8
Computed, not measured: a geometry-optimized KMg2ReB structure at the GGA-PBE level of DFT.

Structure (CIF):
```
data_KMg2ReB
_cell_length_a 4.822
_cell_length_b 4.822
_cell_length_c 4.247
_cell_angle_alpha 90.00
_cell_angle_beta 90.00
_cell_angle_gamma 90.00
_symmetry_space_group_name_H-M 'P 1'
_symmetry_Int_Tables_number 1
_symmetry_space_group_name_Hall 'P 1'
loop_
_atom_site_label
_atom_site_type_symbol
_atom_site_fract_x
_atom_site_fract_y
_atom_site_fract_z
K1 K 0.000 0.000 0.000
Mg1 Mg 0.000 0.500 0.500
Mg2 Mg 0.500 0.000 0.500
Re1 Re 0.500 0.500 0.000
B1 B 0.500 0.500 0.500
```

ΔH_f (0 K): 0.713 eV/atom
calculated density: 4.79 Mg/m³
VASP energy: -3.969 eV per atom
total moment: 0.64 μB per cell

Record 9
Computed, not measured: a geometry-optimized Cr2Ir2S structure at the GGA-PBE level of DFT.

Structure (CIF):
```
data_Cr2Ir2S
_cell_length_a 7.049
_cell_length_b 7.049
_cell_length_c 7.049
_cell_angle_alpha 153.26
_cell_angle_beta 153.26
_cell_angle_gamma 38.17
_symmetry_space_group_name_H-M 'P 1'
_symmetry_Int_Tables_number 1
_symmetry_space_group_name_Hall 'P 1'
loop_
_atom_site_label
_atom_site_type_symbol
_atom_site_fract_x
_atom_site_fract_y
_atom_site_fract_z
Cr1 Cr 0.250 0.750 0.500
Cr2 Cr 0.750 0.250 0.500
Ir1 Ir 0.102 0.102 0.000
Ir2 Ir 0.898 0.898 0.000
S1 S 0.500 0.500 0.000
```

calculated density: 12.21 Mg/m³
VASP energy: -7.841 eV per atom
total moment: 0.00 μB per cell
E above lowest polymorph: 0.094 eV/atom
formation energy (no corrections): 0.38 eV per atom

Record 10
Computed, not measured: a geometry-optimized Tb2Ho6Tm3In structure at the GGA-PBE level of DFT.

Structure (CIF):
```
data_Tb2Ho6Tm3In
_cell_length_a 6.038
_cell_length_b 6.038
_cell_length_c 11.573
_cell_angle_alpha 95.00
_cell_angle_beta 95.00
_cell_angle_gamma 120.03
_symmetry_space_group_name_H-M 'P 1'
_symmetry_Int_Tables_number 1
_symmetry_space_group_name_Hall 'P 1'
loop_
_atom_site_label
_atom_site_type_symbol
_atom_site_fract_x
_atom_site_fract_y
_atom_site_fract_z
Tb1 Tb 0.166 0.834 0.000
Tb2 Tb 0.834 0.166 0.000
Ho1 Ho 0.088 0.417 0.751
Ho2 Ho 0.254 0.254 0.250
Ho3 Ho 0.417 0.088 0.751
Ho4 Ho 0.583 0.912 0.249
Ho5 Ho 0.746 0.746 0.750
Ho6 Ho 0.912 0.583 0.249
Tm1 Tm 0.000 0.000 0.500
Tm2 Tm 0.333 0.667 0.500
Tm3 Tm 0.667 0.333 0.500
In1 In 0.500 0.500 0.000
```

ΔH_f (0 K): -0.044 eV/atom
calculated density: 8.91 Mg/m³
VASP energy: -4.451 eV per atom
total moment: 0.00 μB per cell

Record 11
Computed, not measured: a geometry-optimized AcLaTbPr3 structure at the GGA-PBE level of DFT.

Structure (CIF):
```
data_AcLaTbPr3
_cell_length_a 10.948
_cell_length_b 10.948
_cell_length_c 7.163
_cell_angle_alpha 91.23
_cell_angle_beta 91.23
_cell_angle_gamma 31.62
_symmetry_space_group_name_H-M 'P 1'
_symmetry_Int_Tables_number 1
_symmetry_space_group_name_Hall 'P 1'
loop_
_atom_site_label
_atom_site_type_symbol
_atom_site_fract_x
_atom_site_fract_y
_atom_site_fract_z
Ac1 Ac 0.148 0.148 0.033
Ac2 Ac 0.852 0.852 0.967
La1 La 0.445 0.445 0.724
La2 La 0.555 0.555 0.276
Tb1 Tb 0.144 0.144 0.491
Tb2 Tb 0.856 0.856 0.509
Pr1 Pr 0.016 0.016 0.746
Pr2 Pr 0.282 0.282 0.728
Pr3 Pr 0.338 0.338 0.256
Pr4 Pr 0.662 0.662 0.744
Pr5 Pr 0.718 0.718 0.272
Pr6 Pr 0.984 0.984 0.254
```

ΔH_f (0 K): 0.163 eV/atom
calculated density: 6.99 Mg/m³
VASP energy: -4.505 eV per atom
total moment: 0.00 μB per cell

Record 12
Computed, not measured: a geometry-optimized LiAcTbSm structure at the GGA-PBE level of DFT.

Structure (CIF):
```
data_LiAcTbSm
_cell_length_a 5.745
_cell_length_b 5.745
_cell_length_c 5.745
_cell_angle_alpha 60.00
_cell_angle_beta 60.00
_cell_angle_gamma 60.00
_symmetry_space_group_name_H-M 'P 1'
_symmetry_Int_Tables_number 1
_symmetry_space_group_name_Hall 'P 1'
loop_
_atom_site_label
_atom_site_type_symbol
_atom_site_fract_x
_atom_site_fract_y
_atom_site_fract_z
Li1 Li 0.000 0.000 0.000
Ac1 Ac 0.500 0.500 0.500
Tb1 Tb 0.750 0.750 0.750
Sm1 Sm 0.250 0.250 0.250
```

ΔH_f (0 K): 0.246 eV/atom
calculated density: 6.73 Mg/m³
VASP energy: -3.597 eV per atom
total moment: 0.00 μB per cell

Which formula does entry 10 have? Tb2Ho6Tm3In

The highest VASP energy belongs to which entry? Cs7Ag2Au2

Among the records above, which one has the lowest VASP energy? Cr2Ir2S